Crystalline CaScNi2 at its relaxed geometry, computed with PBE.

Summary:
Electronic total energy (eV per atom): -5.25
Size of the total moment (μB/f.u.): 0.00
Energy relative to the lowest polymorph listed for this composition (meV per atom): 0

Cell: 3.288 3.269 6.703 Å, 90.00 90.07 90.00°
Element x y z (fractional)
Ca (0.000, 0.000, 0.000)
Sc (0.000, 0.000, 0.500)
Ni (0.500, 0.500, 0.296)
Ni (0.500, 0.500, 0.704)



Crystalline HfAlBRh2 at its relaxed geometry, computed with PBE.

Summary:
Electronic total energy (eV per atom): -6.56
Size of the total moment (μB/f.u.): 0.00

Cell: 4.510 4.510 3.943 Å, 90.00 90.00 90.00°
Element x y z (fractional)
Hf (0.000, 0.000, 0.000)
Al (0.500, 0.500, 0.500)
B (0.500, 0.500, 0.000)
Rh (0.000, 0.500, 0.500)
Rh (0.500, 0.000, 0.500)



Crystalline RbNb2H at its relaxed geometry, computed with PBE.

Summary:
Electronic total energy (eV per atom): -5.15
Size of the total moment (μB/f.u.): 0.00
Energy relative to the lowest polymorph listed for this composition (meV per atom): 0

Cell: 6.214 6.214 6.214 Å, 60.00 60.00 60.00°
Element x y z (fractional)
Rb (0.125, 0.125, 0.125)
Rb (0.875, 0.875, 0.875)
Nb (0.000, 0.500, 0.500)
Nb (0.500, 0.000, 0.500)
Nb (0.500, 0.500, 0.000)
Nb (0.500, 0.500, 0.500)
H (0.375, 0.375, 0.375)
H (0.625, 0.625, 0.625)



Crystalline Cs2KC at its relaxed geometry, computed with PBE.

Summary:
Electronic total energy (eV per atom): -1.60
Size of the total moment (μB/f.u.): 1.05
Energy relative to the lowest polymorph listed for this composition (meV per atom): 215

Cell: 8.596 8.596 8.596 Å, 90.00 90.00 90.00°
Element x y z (fractional)
Cs (0.250, 0.250, 0.250)
Cs (0.250, 0.250, 0.750)
Cs (0.250, 0.750, 0.250)
Cs (0.250, 0.750, 0.750)
Cs (0.750, 0.250, 0.250)
Cs (0.750, 0.250, 0.750)
Cs (0.750, 0.750, 0.250)
Cs (0.750, 0.750, 0.750)
K (0.000, 0.000, 0.000)
K (0.000, 0.500, 0.500)
K (0.500, 0.000, 0.500)
K (0.500, 0.500, 0.000)
C (0.000, 0.000, 0.500)
C (0.000, 0.500, 0.000)
C (0.500, 0.000, 0.000)
C (0.500, 0.500, 0.500)



Crystalline Ba2CdAg4Sn3 at its relaxed geometry, computed with PBE.

Summary:
Electronic total energy (eV per atom): -3.17
Size of the total moment (μB/f.u.): 0.00

Cell: 4.903 4.903 11.371 Å, 90.00 90.00 90.00°
Element x y z (fractional)
Ba (0.000, 0.500, 0.242)
Ba (0.500, 0.000, 0.758)
Cd (0.000, 0.000, 0.500)
Ag (0.000, 0.000, 0.000)
Ag (0.000, 0.500, 0.630)
Ag (0.500, 0.000, 0.370)
Ag (0.500, 0.500, 0.000)
Sn (0.000, 0.500, 0.873)
Sn (0.500, 0.000, 0.127)
Sn (0.500, 0.500, 0.500)



Crystalline TbTm2PaCo2 at its relaxed geometry, computed with PBE.

Summary:
Electronic total energy (eV per atom): -6.39
Size of the total moment (μB/f.u.): 0.00

Cell: 7.881 7.881 7.881 Å, 128.49 74.81 129.77°
Element x y z (fractional)
Tb (0.250, 0.250, 0.000)
Tb (0.750, 0.750, 0.000)
Tm (0.204, 0.689, 0.893)
Tm (0.296, 0.189, 0.486)
Tm (0.704, 0.811, 0.514)
Tm (0.796, 0.311, 0.107)
Pa (0.250, 0.750, 0.500)
Pa (0.750, 0.250, 0.500)
Co (0.092, 0.297, 0.389)
Co (0.408, 0.797, 0.205)
Co (0.592, 0.203, 0.795)
Co (0.908, 0.703, 0.611)



Crystalline BeCuAg3 at its relaxed geometry, computed with PBE.

Summary:
Electronic total energy (eV per atom): -2.26
Size of the total moment (μB/f.u.): 0.00
Energy relative to the lowest polymorph listed for this composition (meV per atom): 497

Cell: 4.746 4.746 4.746 Å, 90.00 90.00 90.00°
Element x y z (fractional)
Be (0.000, 0.000, 0.000)
Cu (0.500, 0.500, 0.500)
Ag (0.000, 0.500, 0.500)
Ag (0.500, 0.000, 0.500)
Ag (0.500, 0.500, 0.000)